# 1
TlAgHPt2, optimized geometry, DFT PBE-GGA; Fermi-level density of states = 0.18 states/eV/atom; VASP energy = -4.079 eV/atom; SG = P4/mmm, No. 123
1.0
4.112 0.000 0.000
0.000 4.112 0.000
0.000 0.000 4.385
Tl Pt Ag H
1 2 1 1
Direct
0.500 0.500 0.500
0.000 0.500 0.000
0.500 0.000 0.000
0.000 0.000 0.500
0.000 0.000 0.000


# 2
Nd3DyTm7, optimized geometry, DFT PBE-GGA; Fermi-level density of states = 1.51 states/eV/atom; SG = P3m1, No. 156; ΔE_f = 179 meV per atom
1.0
8.626 0.000 0.000
0.000 7.009 0.000
0.000 -3.504 6.070
Nd Tm Dy
3 7 1
Direct
0.784 0.500 0.000
0.784 0.500 0.500
0.784 0.000 0.500
0.444 0.833 0.167
0.122 0.167 0.335
0.122 0.665 0.833
0.444 0.833 0.665
0.123 0.667 0.333
0.444 0.335 0.167
0.122 0.167 0.833
0.444 0.333 0.667


Question: The lowest Fermi-level density of states belongs to which entry?
Answer: TlAgHPt2